Cd4Ag2Rh: relaxed, GGA-PBE.

a = 4.7130 Å, b = 4.7130 Å, c = 14.1638 Å
α = 90.00°, β = 90.00°, γ = 119.95°
Closest atoms and distances in Å follow each position.
Positions (direct):
Cd 0.1661 0.8339 0.2500  3 Rh 2.72, 2 Ag 2.78
Rh 0.5004 0.4996 0.7500  3 Cd 2.72
Ag 0.8336 0.1664 0.9461  8 Cd 2.78-3.03
Cd 0.8339 0.1661 0.7500  3 Rh 2.72, 2 Ag 2.78
Cd 0.5000 0.5000 0.0000  6 Ag 2.83
Cd 0.1673 0.8327 0.8527  4 Ag 2.85-3.03, 4 Cd 2.91-3.09, 3 Rh 3.08-3.09
Rh 0.4996 0.5004 0.2500  3 Cd 2.72
Cd 0.8327 0.1673 0.1473  4 Ag 2.85-3.03, 4 Cd 2.91-3.09, 3 Rh 3.08-3.09
Ag 0.8336 0.1664 0.5539  8 Cd 2.78-3.03
Cd 0.8327 0.1673 0.3527  4 Ag 2.85-3.03, 4 Cd 2.91-3.09, 3 Rh 3.08-3.09
Cd 0.5000 0.5000 0.5000  6 Ag 2.83
Cd 0.1673 0.8327 0.6473  4 Ag 2.85-3.03, 4 Cd 2.91-3.09, 3 Rh 3.08-3.09
Ag 0.1664 0.8336 0.4461  8 Cd 2.78-3.03
Ag 0.1664 0.8336 0.0539  8 Cd 2.78-3.03

Summary:
**ΔH_f (0 K)**: 0.6 kcal/mol of atoms